(1)
Here is InCuGe after structural relaxation from the Alexandria database. Energies are from PBE.

Cell: 4.1909 5.0023 6.3113 Å, 73.04 72.06 88.55°
Closest atoms and distances in Å follow each position.
Fractional positions:
In 0.0000 0.0000 0.0000  4 Cu 2.74-2.85, 1 Ge 2.89
In 0.2170 0.6976 0.5259  4 Cu 2.74-2.85, 1 Ge 2.89
Cu 0.6083 0.3482 0.7634  2 Ge 2.50, 2 Cu 2.50, 1 In 2.79
Cu 0.6086 0.8482 0.7632  2 Ge 2.49, 2 Cu 2.50, 4 In 2.74-2.78
Ge 0.4109 0.4662 0.1393  2 Cu 2.49-2.50, 2 Ge 2.63-2.64
Ge 0.8012 0.2311 0.3870  2 Cu 2.49-2.50, 2 Ge 2.63-2.64

Summary:
- energy (eV per atom) = -3.691
- SG = P1 (1)
- formation energy from the elements (eV per atom) = 0.127
- Fermi-level density of states (states/eV per cell) = 2.14
- crystal system = triclinic

(2)
Here is InCuGe after structural relaxation from the Alexandria database. Energies are from PBE.

Cell: 4.0056 5.1977 6.0768 Å, 73.40 71.61 89.92°
Closest atoms and distances in Å follow each position.
Fractional positions:
In 0.1361 0.3148 0.2233  3 Cu 2.66-2.95
In 0.8639 0.6852 0.7767  3 Cu 2.66-2.95
Cu 0.2094 0.8522 0.0836  2 Cu 2.53-2.54, 3 Ge 2.53-2.66, 2 In 2.66-2.76
Cu 0.7906 0.1478 0.9164  2 Cu 2.53-2.54, 3 Ge 2.53-2.66, 2 In 2.66-2.76
Ge 0.4289 0.1942 0.6347  3 Cu 2.53-2.66
Ge 0.5711 0.8058 0.3653  3 Cu 2.53-2.66

Summary:
- energy (eV per atom) = -3.722
- SG = P-1 (2)
- formation energy from the elements (eV per atom) = 0.095
- Fermi-level density of states (states/eV per cell) = 2.34
- crystal system = triclinic

(3)
Here is InCuGe after structural relaxation from the Alexandria database. Energies are from PBE.

Cell: 4.1130 4.1130 6.8803 Å, 90.00 90.00 90.00°
Closest atoms and distances in Å follow each position.
Fractional positions:
In 0.2500 0.7500 0.0000  4 Cu 2.79, 4 In 2.91
In 0.7500 0.2500 0.0000  4 Cu 2.79, 4 In 2.91
Cu 0.2500 0.2500 0.2751  1 Ge 2.41
Cu 0.7500 0.7500 0.7249  1 Ge 2.41
Ge 0.2500 0.2500 0.6255  1 Cu 2.41
Ge 0.7500 0.7500 0.3745  1 Cu 2.41

Summary:
- energy (eV per atom) = -3.516
- SG = P4/nmm (129)
- formation energy from the elements (eV per atom) = 0.302
- Fermi-level density of states (states/eV per cell) = 2.52
- crystal system = tetragonal

(4)
Here is InCuGe after structural relaxation from the Alexandria database. Energies are from PBE.

Cell: 4.8576 4.8576 5.6648 Å, 90.00 90.00 120.00°
Closest atoms and distances in Å follow each position.
Fractional positions:
In 0.3333 0.6667 0.2500  5 Ge 2.80-2.83
In 0.6667 0.3333 0.7500  5 Ge 2.80-2.83
Cu 0.0000 0.0000 0.0000  2 Cu 2.83, 6 Ge 3.14, 6 In 3.14
Cu 0.0000 0.0000 0.5000  2 Cu 2.83, 6 Ge 3.14, 6 In 3.14
Ge 0.3333 0.6667 0.7500  5 In 2.80-2.83
Ge 0.6667 0.3333 0.2500  5 In 2.80-2.83

Summary:
- energy (eV per atom) = -3.455
- SG = P6_3/mmc (194)
- formation energy from the elements (eV per atom) = 0.362
- Fermi-level density of states (states/eV per cell) = 3.80
- crystal system = hexagonal

(5)
Here is InCuGe after structural relaxation from the Alexandria database. Energies are from PBE.

Cell: 5.5105 3.8872 11.1308 Å, 90.00 90.00 90.00°
Closest atoms and distances in Å follow each position.
Fractional positions:
In 0.1054 0.2500 0.1580  4 Cu 2.78-2.81, 1 Ge 2.82
In 0.3946 0.7500 0.6580  4 Cu 2.78-2.81, 1 Ge 2.82
In 0.6054 0.2500 0.3420  4 Cu 2.78-2.81, 1 Ge 2.82
In 0.8946 0.7500 0.8420  4 Cu 2.78-2.81, 1 Ge 2.82
Cu 0.0273 0.2500 0.6761  3 Ge 2.56-2.60, 4 In 2.78-2.81
Cu 0.4727 0.7500 0.1761  3 Ge 2.56-2.60, 4 In 2.78-2.81
Cu 0.5273 0.2500 0.8239  3 Ge 2.56-2.60, 4 In 2.78-2.81
Cu 0.9727 0.7500 0.3239  3 Ge 2.56-2.60, 4 In 2.78-2.81
Ge 0.1466 0.2500 0.4535  3 Cu 2.56-2.60, 2 Ge 2.73, 1 In 2.82
Ge 0.3534 0.7500 0.9535  3 Cu 2.56-2.60, 2 Ge 2.73, 1 In 2.82
Ge 0.6466 0.2500 0.0465  3 Cu 2.56-2.60, 2 Ge 2.73, 1 In 2.82
Ge 0.8534 0.7500 0.5465  3 Cu 2.56-2.60, 2 Ge 2.73, 1 In 2.82

Summary:
- energy (eV per atom) = -3.655
- SG = Pnma (62)
- formation energy from the elements (eV per atom) = 0.162
- Fermi-level density of states (states/eV per cell) = 3.51
- crystal system = orthorhombic

(6)
Here is InCuGe after structural relaxation from the Alexandria database. Energies are from PBE.

Cell: 2.9892 3.1855 6.1090 Å, 90.04 90.05 90.01°
Closest atoms and distances in Å follow each position.
Fractional positions:
In 0.0000 0.0000 0.0000  1 Ge 2.80, 4 Cu 2.89, 2 In 2.99
Cu 0.5016 0.5018 0.3097  4 Ge 2.61, 4 In 2.89
Ge 0.0023 0.0024 0.5425  4 Cu 2.61, 1 In 2.80

Summary:
- energy (eV per atom) = -3.664
- SG = P1 (1)
- formation energy from the elements (eV per atom) = 0.153
- Fermi-level density of states (states/eV per cell) = 0.90
- crystal system = triclinic

(7)
Here is In2CuGe2 after structural relaxation from the Alexandria database. Energies are from PBE.

Cell: 8.6688 8.6688 8.6688 Å, 155.70 155.70 34.63°
Closest atoms and distances in Å follow each position.
Fractional positions:
In 0.0923 0.0923 0.0000  4 Cu 3.00, 1 In 3.05, 4 Ge 3.18
In 0.9077 0.9077 0.0000  4 Cu 3.00, 1 In 3.05, 4 Ge 3.18
Cu 0.5000 0.5000 0.0000  8 In 3.00
Ge 0.2500 0.7500 0.5000  4 Ge 2.58
Ge 0.7500 0.2500 0.5000  4 Ge 2.58

Summary:
- energy (eV per atom) = -3.480
- SG = I4/mmm (139)
- formation energy from the elements (eV per atom) = 0.282
- Fermi-level density of states (states/eV per cell) = 2.53
- crystal system = tetragonal
- energy above the lowest structure with this stoichiometry (eV/f.u.) = 0.641

(8)
Here is InCuGe after structural relaxation from the Alexandria database. Energies are from PBE.

Cell: 4.3905 4.3905 10.6514 Å, 90.00 90.00 120.00°
Closest atoms and distances in Å follow each position.
Fractional positions:
In 0.0000 0.0000 0.2500  3 Cu 2.53, 2 Ge 2.66
In 0.0000 0.0000 0.7500  3 Cu 2.53, 2 Ge 2.66
Cu 0.3333 0.6667 0.2500  3 In 2.53
Cu 0.6667 0.3333 0.7500  3 In 2.53
Ge 0.0000 0.0000 0.0000  2 In 2.66
Ge 0.0000 0.0000 0.5000  2 In 2.66

Summary:
- energy (eV per atom) = -2.858
- SG = P6_3/mmc (194)
- formation energy from the elements (eV per atom) = 0.959
- Fermi-level density of states (states/eV per cell) = 4.55
- crystal system = hexagonal

(9)
Here is InCuGe3 after structural relaxation from the Alexandria database. Energies are from PBE.

Cell: 4.7932 4.7932 4.7932 Å, 90.00 90.00 90.00°
Closest atoms and distances in Å follow each position.
Fractional positions:
In 0.0000 0.0000 0.0000  12 Ge 3.39
Cu 0.5000 0.5000 0.5000  6 Ge 2.40
Ge 0.0000 0.5000 0.5000  2 Cu 2.40
Ge 0.5000 0.0000 0.5000  2 Cu 2.40
Ge 0.5000 0.5000 0.0000  2 Cu 2.40

Summary:
- energy (eV per atom) = -3.749
- SG = Pm-3m (221)
- formation energy from the elements (eV per atom) = 0.389
- Fermi-level density of states (states/eV per cell) = 1.82
- crystal system = cubic
- energy above the lowest structure with this stoichiometry (eV/f.u.) = 0.000

(10)
Here is InCuGe after structural relaxation from the Alexandria database. Energies are from PBE.

Cell: 5.2357 5.2431 5.2982 Å, 103.96 104.62 119.89°
Closest atoms and distances in Å follow each position.
Fractional positions:
In 0.0000 0.0000 0.0000  4 Cu 2.75-2.84, 1 Ge 2.94
In 0.1975 0.4994 0.6994  4 Cu 2.77-2.86, 3 Ge 2.91-3.09
Cu 0.0983 0.6093 0.2103  2 Cu 2.62-2.63, 4 Ge 2.68-2.77, 4 In 2.75-2.86
Cu 0.5990 0.1077 0.2098  2 Cu 2.62-2.63, 4 Ge 2.69-2.76, 4 In 2.75-2.86
Ge 0.5203 0.1793 0.7021  4 Cu 2.71-2.77, 1 In 2.91
Ge 0.6789 0.6801 0.3619  4 Cu 2.68-2.74, 1 In 2.94

Summary:
- energy (eV per atom) = -3.731
- SG = P1 (1)
- formation energy from the elements (eV per atom) = 0.087
- Fermi-level density of states (states/eV per cell) = 2.47
- crystal system = triclinic

(11)
Here is InCu2Ge2 after structural relaxation from the Alexandria database. Energies are from PBE.

Cell: 7.9815 7.9815 2.7419 Å, 90.00 90.00 90.00°
Closest atoms and distances in Å follow each position.
Fractional positions:
In 0.0000 0.0000 0.0000  2 In 2.74
In 0.5000 0.5000 0.0000  2 In 2.74
Cu 0.1555 0.3445 0.5000  6 Ge 2.71-2.72, 2 Cu 2.74
Cu 0.3445 0.8445 0.5000  6 Ge 2.71-2.72, 2 Cu 2.74
Cu 0.6555 0.1555 0.5000  6 Ge 2.71-2.72, 2 Cu 2.74
Cu 0.8445 0.6555 0.5000  6 Ge 2.71-2.72, 2 Cu 2.74
Ge 0.1364 0.6364 0.0000  6 Cu 2.71-2.72, 2 Ge 2.74
Ge 0.3636 0.1364 0.0000  6 Cu 2.71-2.72, 2 Ge 2.74
Ge 0.6364 0.8636 0.0000  6 Cu 2.71-2.72, 2 Ge 2.74
Ge 0.8636 0.3636 0.0000  6 Cu 2.71-2.72, 2 Ge 2.74

Summary:
- energy (eV per atom) = -3.837
- SG = P4/mbm (127)
- formation energy from the elements (eV per atom) = 0.196
- Fermi-level density of states (states/eV per cell) = 4.26
- crystal system = tetragonal

(12)
Here is InCuGe after structural relaxation from the Alexandria database. Energies are from PBE.

Cell: 3.1075 6.2478 6.5625 Å, 111.25 90.22 100.21°
Closest atoms and distances in Å follow each position.
Fractional positions:
In 0.0554 0.1772 0.3144  4 Cu 2.76-2.86, 1 Ge 2.77
In 0.9446 0.8228 0.6856  4 Cu 2.76-2.86, 1 Ge 2.77
Cu 0.4104 0.8060 0.0364  3 Ge 2.54-2.57, 1 Cu 2.60, 3 In 2.76-2.83
Cu 0.5896 0.1940 0.9636  3 Ge 2.54-2.57, 1 Cu 2.60, 3 In 2.76-2.83
Ge 0.1533 0.3815 0.7684  3 Cu 2.54-2.57, 1 In 2.77
Ge 0.8467 0.6185 0.2316  3 Cu 2.54-2.57, 1 In 2.77

Summary:
- energy (eV per atom) = -3.674
- SG = P-1 (2)
- formation energy from the elements (eV per atom) = 0.143
- Fermi-level density of states (states/eV per cell) = 1.75
- crystal system = triclinic

(13)
Here is In3CuGe after structural relaxation from the Alexandria database. Energies are from PBE.

Cell: 5.3878 5.3878 5.3878 Å, 90.00 90.00 90.00°
Closest atoms and distances in Å follow each position.
Fractional positions:
In 0.0000 0.0000 0.5000  2 Ge 2.69
In 0.0000 0.5000 0.0000  2 Ge 2.69
In 0.5000 0.0000 0.0000  2 Ge 2.69
Cu 0.5000 0.5000 0.5000  12 In 3.81
Ge 0.0000 0.0000 0.0000  6 In 2.69

Summary:
- energy (eV per atom) = -2.714
- SG = Pm-3m (221)
- formation energy from the elements (eV per atom) = 0.672
- Fermi-level density of states (states/eV per cell) = 4.09
- crystal system = cubic
- energy above the lowest structure with this stoichiometry (eV/f.u.) = 1.692

(14)
Here is InCuGe after structural relaxation from the Alexandria database. Energies are from PBE.

Cell: 4.1873 4.1873 3.9146 Å, 90.00 90.00 120.00°
Closest atoms and distances in Å follow each position.
Fractional positions:
In 0.0000 0.0000 0.0000  6 Cu 3.04-3.18, 6 Ge 3.10-3.12
Cu 0.3333 0.6667 0.5284  3 Ge 2.42
Ge 0.6667 0.3333 0.4973  3 Cu 2.42

Summary:
- energy (eV per atom) = -3.669
- SG = P3m1 (156)
- formation energy from the elements (eV per atom) = 0.148
- Fermi-level density of states (states/eV per cell) = 0.93
- crystal system = trigonal

(15)
Here is InCuGe after structural relaxation from the Alexandria database. Energies are from PBE.

Cell: 4.2394 4.6172 6.0478 Å, 88.05 89.95 89.99°
Closest atoms and distances in Å follow each position.
Fractional positions:
In 0.0000 0.0000 0.0000  3 Cu 2.71-2.92, 1 Ge 2.76
In 0.4999 0.4835 0.0479  1 Ge 2.85, 4 Cu 2.85-2.94, 2 In 3.10
Cu 0.4978 0.9668 0.3296  4 Ge 2.61-2.89, 2 Cu 2.62, 4 In 2.85-2.92
Cu 0.9977 0.6333 0.3595  4 Ge 2.54-2.62, 2 Cu 2.62, 1 In 2.71
Ge 0.4978 0.4906 0.5769  3 Cu 2.57-2.62, 2 Ge 2.74-2.75, 1 In 2.85
Ge 0.9980 0.1159 0.5495  4 Cu 2.54-2.62, 2 Ge 2.74-2.75, 1 In 2.76

Summary:
- energy (eV per atom) = -3.686
- SG = P1 (1)
- formation energy from the elements (eV per atom) = 0.132
- Fermi-level density of states (states/eV per cell) = 1.96
- crystal system = triclinic

(16)
Here is La2InCu4Ge3 after structural relaxation from the Alexandria database. Energies are from PBE.

Cell: 4.2822 4.2822 10.4869 Å, 90.00 90.00 90.00°
Closest atoms and distances in Å follow each position.
Fractional positions:
La 0.0000 0.5000 0.2329  6 Ge 3.24-3.53, 8 Cu 3.25-3.29, 2 In 3.53
La 0.5000 0.0000 0.7671  6 Ge 3.24-3.53, 8 Cu 3.25-3.29, 2 In 3.53
In 0.0000 0.0000 0.5000  4 Cu 2.63
Cu 0.0000 0.0000 0.0000  4 Ge 2.51
Cu 0.0000 0.5000 0.6452  3 Ge 2.42-2.63, 2 In 2.63
Cu 0.5000 0.0000 0.3548  3 Ge 2.42-2.63, 2 In 2.63
Cu 0.5000 0.5000 0.0000  4 Ge 2.51
Ge 0.0000 0.5000 0.8759  5 Cu 2.42-2.51
Ge 0.5000 0.0000 0.1241  5 Cu 2.42-2.51
Ge 0.5000 0.5000 0.5000  4 Cu 2.63

Summary:
- energy (eV per atom) = -4.775
- SG = P-4m2 (115)
- formation energy from the elements (eV per atom) = -0.492
- Fermi-level density of states (states/eV per cell) = 5.12
- crystal system = tetragonal

(17)
Here is LiInCuGe after structural relaxation from the Alexandria database. Energies are from PBE.

Cell: 4.5842 4.5842 4.5842 Å, 60.00 60.00 60.00°
Closest atoms and distances in Å follow each position.
Fractional positions:
Li 0.0000 0.0000 0.0000  4 In 2.81, 4 Ge 2.81
In 0.7500 0.7500 0.7500  4 Cu 2.81, 4 Li 2.81
Cu 0.5000 0.5000 0.5000  4 Ge 2.81, 4 In 2.81
Ge 0.2500 0.2500 0.2500  4 Cu 2.81, 4 Li 2.81

Summary:
- energy (eV per atom) = -3.378
- SG = F-43m (216)
- formation energy from the elements (eV per atom) = -0.036
- Fermi-level density of states (states/eV per cell) = 1.33
- crystal system = cubic

(18)
Here is MgInCu2Ge after structural relaxation from the Alexandria database. Energies are from PBE.

Cell: 4.8411 4.8411 5.2756 Å, 90.00 90.00 90.00°
Closest atoms and distances in Å follow each position.
Fractional positions:
Mg 0.0000 0.0000 0.0000  4 Ge 3.42, 8 Cu 3.58
In 0.5000 0.5000 0.5000  4 Cu 2.42, 2 Ge 2.64
Cu 0.0000 0.5000 0.5000  2 In 2.42
Cu 0.5000 0.0000 0.5000  2 In 2.42
Ge 0.5000 0.5000 0.0000  2 In 2.64

Summary:
- energy (eV per atom) = -2.717
- SG = P4/mmm (123)
- formation energy from the elements (eV per atom) = 0.712
- Fermi-level density of states (states/eV per cell) = 2.20
- crystal system = tetragonal
- energy above the lowest structure with this stoichiometry (eV/f.u.) = 0.000

(19)
Here is MgInCu2Ge after structural relaxation from the Alexandria database. Energies are from PBE.

Cell: 4.6805 4.6805 5.2273 Å, 90.00 90.00 90.00°
Closest atoms and distances in Å follow each position.
Fractional positions:
Mg 0.0000 0.0000 0.0000  4 Cu 2.34, 2 In 2.61
In 0.0000 0.0000 0.5000  2 Mg 2.61
Cu 0.0000 0.5000 0.0000  2 Mg 2.34
Cu 0.5000 0.0000 0.0000  2 Mg 2.34
Ge 0.5000 0.5000 0.5000  4 In 3.31, 8 Cu 3.51

Summary:
- energy (eV per atom) = -2.555
- SG = P4/mmm (123)
- formation energy from the elements (eV per atom) = 0.873
- Fermi-level density of states (states/eV per cell) = 2.93
- crystal system = tetragonal
- energy above the lowest structure with this stoichiometry (eV/f.u.) = 0.809

(20)
Here is In2CuGeO6 after structural relaxation from the Alexandria database. Energies are from PBE.

Cell: 5.2150 5.3689 5.4900 Å, 62.90 89.81 61.88°
Closest atoms and distances in Å follow each position.
Fractional positions:
In 0.0000 0.0000 0.0000  5 O 2.12-2.23
In 0.4828 0.0158 0.4831  6 O 2.11-2.36
Cu 0.2705 0.4579 0.8380  4 O 1.97-2.17
Ge 0.7772 0.4342 0.3635  6 O 1.86-2.07
O 0.0505 0.2826 0.1531  1 Ge 1.94, 1 In 2.15, 1 Cu 2.17
O 0.1553 0.2703 0.6512  1 Cu 1.99, 1 Ge 2.07, 1 In 2.14
O 0.4194 0.5267 0.1509  1 Ge 1.92, 1 Cu 2.13
O 0.5687 0.5287 0.6433  1 Cu 1.97, 1 Ge 1.99, 1 In 2.15
O 0.6952 0.8625 0.1812  1 Ge 1.86
O 0.8796 0.9871 0.6198  1 Ge 1.94, 1 In 2.11

Summary:
- energy (eV per atom) = -5.700
- SG = P1 (1)
- energy relative to the elements, uncorrected (eV per atom) = -1.3057
- crystal system = triclinic